Version one
DFT (GGA-PBE) results for an optimized crystal structure of NdIrNO.

Lattice parameters (Å, degrees): 3.5945 3.5945 4.3968 90.00 90.00 90.00
Space group P4/mmm (No. 123)
Inequivalent atoms, fractional coordinates:
Nd 0.0000 0.0000 0.0000 (multiplicity 1)
Ir 0.5000 0.5000 0.5000 (multiplicity 1)
N 0.5000 0.5000 0.0000 (multiplicity 1)
O 0.0000 0.0000 0.5000 (multiplicity 1)

size of the total moment: 0.0062 μB per atom
crystal system: tetragonal


Version two
DFT (GGA-PBE) results for an optimized crystal structure of NdIrNO.

Lattice parameters (Å, degrees): 4.0108 4.0108 7.5544 90.00 90.00 90.00
Space group P4/nmm (No. 129, origin choice 2)
Inequivalent atoms, fractional coordinates:
Nd 0.2500 0.2500 0.1562 (multiplicity 2)
Ir 0.2500 0.7500 0.5000 (multiplicity 2)
N 0.2500 0.2500 0.5919 (multiplicity 2)
O 0.2500 0.7500 0.0000 (multiplicity 2)

size of the total moment: 0.0008 μB per atom
crystal system: tetragonal


Version three
DFT (GGA-PBE) results for an optimized crystal structure of NdIrNO.

Lattice parameters (Å, degrees): 3.7447 5.6577 5.2676 90.00 90.00 90.00
Space group Pmc2_1 (No. 26)
Inequivalent atoms, fractional coordinates:
Nd 0.0000 0.1961 0.0000 (multiplicity 2)
Ir 0.5000 0.3611 0.4977 (multiplicity 2)
N 0.0000 0.3461 0.4901 (multiplicity 2)
O 0.5000 0.0324 0.7407 (multiplicity 2)

size of the total moment: 0.0003 μB per atom
crystal system: orthorhombic


version three ends up most stable, edging out the next structure by 29 meV per atom.


Version one
DFT (GGA-PBE) results for an optimized crystal structure of NdIrNO.

Lattice parameters (Å, degrees): 5.0712 5.0712 4.4040 90.00 90.00 90.00
Space group P4/nmm (No. 129, origin choice 2)
Inequivalent atoms, fractional coordinates:
Nd 0.2500 0.7500 0.0000 (multiplicity 2)
Ir 0.2500 0.2500 0.4976 (multiplicity 2)
N 0.2500 0.2500 0.9971 (multiplicity 2)
O 0.2500 0.7500 0.5000 (multiplicity 2)

size of the total moment: 0.0052 μB per atom
crystal system: tetragonal


Version two
DFT (GGA-PBE) results for an optimized crystal structure of NdIrNO.

Lattice parameters (Å, degrees): 4.3464 6.6667 4.7944 90.00 90.00 90.00
Space group Pmc2_1 (No. 26)
Inequivalent atoms, fractional coordinates:
Nd 0.0000 0.2054 0.0000 (multiplicity 2)
Ir 0.5000 0.4165 0.4853 (multiplicity 2)
N 0.5000 0.3146 0.8565 (multiplicity 2)
O 0.0000 0.1332 0.4766 (multiplicity 2)

size of the total moment: 0.0005 μB per atom
crystal system: orthorhombic


version two ends up most stable, edging out the next structure by 440 meV per atom.


Version one
DFT (GGA-PBE) results for an optimized crystal structure of PaIrNO.

Lattice parameters (Å, degrees): 3.6130 3.6130 7.9581 90.00 90.00 90.00
Space group P4/nmm (No. 129, origin choice 2)
Inequivalent atoms, fractional coordinates:
Pa 0.2500 0.2500 0.1891 (multiplicity 2)
Ir 0.2500 0.7500 0.5000 (multiplicity 2)
N 0.2500 0.2500 0.7319 (multiplicity 2)
O 0.2500 0.7500 0.0000 (multiplicity 2)

size of the total moment: 0.0004 μB per atom
crystal system: tetragonal


Version two
DFT (GGA-PBE) results for an optimized crystal structure of PaIrNO.

Lattice parameters (Å, degrees): 6.2494 7.0127 5.2149 90.00 90.00 90.00
Space group Pca2_1 (No. 29)
Inequivalent atoms, fractional coordinates:
Pa 0.0745 0.1881 0.0000 (multiplicity 4)
Ir 0.1738 0.6711 0.0550 (multiplicity 4)
N 0.0522 0.1146 0.4668 (multiplicity 4)
O 0.2214 0.4125 0.6925 (multiplicity 4)

size of the total moment: 0.0000 μB per atom
crystal system: orthorhombic


version one ends up most stable, edging out the next structure by 100 meV per atom.


Version one
DFT (GGA-PBE) results for an optimized crystal structure of PaIrNO.

Lattice parameters (Å, degrees): 4.0098 4.9823 6.1755 90.00 90.00 90.00
Space group Pmc2_1 (No. 26)
Inequivalent atoms, fractional coordinates:
Pa 0.0000 0.2035 0.0000 (multiplicity 2)
Ir 0.5000 0.2911 0.3965 (multiplicity 2)
N 0.5000 0.3726 0.0873 (multiplicity 2)
O 0.0000 0.2020 0.6442 (multiplicity 2)

size of the total moment: 0.0000 μB per atom
crystal system: orthorhombic


Version two
DFT (GGA-PBE) results for an optimized crystal structure of PaIrNO.

Lattice parameters (Å, degrees): 3.9110 5.3428 4.9144 90.00 90.00 90.00
Space group Pmc2_1 (No. 26)
Inequivalent atoms, fractional coordinates:
Pa 0.0000 0.2201 0.0000 (multiplicity 2)
Ir 0.5000 0.3665 0.5174 (multiplicity 2)
N 0.0000 0.2639 0.4940 (multiplicity 2)
O 0.5000 0.0354 0.7851 (multiplicity 2)

size of the total moment: 0.0001 μB per atom
crystal system: orthorhombic


version two ends up most stable, edging out the next structure by 220 meV per atom.


Version one
DFT (GGA-PBE) results for an optimized crystal structure of SbIrNO.

Lattice parameters (Å, degrees): 3.9341 3.9341 7.3287 90.00 90.00 90.00
Space group P4/nmm (No. 129, origin choice 2)
Inequivalent atoms, fractional coordinates:
Sb 0.2500 0.2500 0.1591 (multiplicity 2)
Ir 0.2500 0.7500 0.5000 (multiplicity 2)
N 0.2500 0.2500 0.6037 (multiplicity 2)
O 0.2500 0.7500 0.0000 (multiplicity 2)

size of the total moment: 0.0007 μB per atom
crystal system: tetragonal


Version two
DFT (GGA-PBE) results for an optimized crystal structure of SbIrNO.

Lattice parameters (Å, degrees): 5.4740 8.0199 5.0617 90.00 90.00 90.00
Space group Pca2_1 (No. 29)
Inequivalent atoms, fractional coordinates:
Sb 0.0653 0.1691 0.0000 (multiplicity 4)
Ir 0.0456 0.5538 0.1383 (multiplicity 4)
N 0.1335 0.6514 0.7798 (multiplicity 4)
O 0.1451 0.0128 0.3289 (multiplicity 4)

size of the total moment: 0.0003 μB per atom
crystal system: orthorhombic


version two ends up most stable, edging out the next structure by 265 meV per atom.


Version one
DFT (GGA-PBE) results for an optimized crystal structure of SbIrNO.

Lattice parameters (Å, degrees): 2.9082 6.8520 5.6739 90.00 90.00 90.00
Space group Pmc2_1 (No. 26)
Inequivalent atoms, fractional coordinates:
Sb 0.0000 0.1648 0.0000 (multiplicity 2)
Ir 0.5000 0.2924 0.6024 (multiplicity 2)
N 0.0000 0.1641 0.4119 (multiplicity 2)
O 0.5000 0.4259 0.9447 (multiplicity 2)

size of the total moment: 0.0003 μB per atom
crystal system: orthorhombic


Version two
DFT (GGA-PBE) results for an optimized crystal structure of SbIrNO.

Lattice parameters (Å, degrees): 4.4506 4.4506 5.1404 90.00 90.00 90.00
Space group P4/nmm (No. 129, origin choice 2)
Inequivalent atoms, fractional coordinates:
Sb 0.2500 0.7500 0.0000 (multiplicity 2)
Ir 0.2500 0.2500 0.4347 (multiplicity 2)
N 0.2500 0.2500 0.8228 (multiplicity 2)
O 0.2500 0.7500 0.5000 (multiplicity 2)

size of the total moment: 0.0001 μB per atom
crystal system: tetragonal


version one ends up most stable, edging out the next structure by 377 meV per atom.


Version one
DFT (GGA-PBE) results for an optimized crystal structure of SnIrNO.

Lattice parameters (Å, degrees): 3.7379 3.7379 9.1694 90.00 90.00 90.00
Space group P4/nmm (No. 129, origin choice 2)
Inequivalent atoms, fractional coordinates:
Sn 0.2500 0.2500 0.1310 (multiplicity 2)
Ir 0.2500 0.7500 0.5000 (multiplicity 2)
N 0.2500 0.2500 0.6075 (multiplicity 2)
O 0.2500 0.7500 0.0000 (multiplicity 2)

size of the total moment: 0.0001 μB per atom
crystal system: tetragonal


Version two
DFT (GGA-PBE) results for an optimized crystal structure of SnIrNO.

Lattice parameters (Å, degrees): 5.4351 7.7538 5.0534 90.00 90.00 90.00
Space group Pca2_1 (No. 29)
Inequivalent atoms, fractional coordinates:
Sn 0.0305 0.1654 0.0000 (multiplicity 4)
Ir 0.0496 0.5550 0.2008 (multiplicity 4)
N 0.1199 0.6617 0.8399 (multiplicity 4)
O 0.1730 0.0319 0.6656 (multiplicity 4)

size of the total moment: 0.0001 μB per atom
crystal system: orthorhombic


version two ends up most stable, edging out the next structure by 199 meV per atom.


Version one
DFT (GGA-PBE) results for an optimized crystal structure of SnIrNO.

Lattice parameters (Å, degrees): 5.5845 7.2984 5.0581 90.00 90.00 90.00
Space group Pca2_1 (No. 29)
Inequivalent atoms, fractional coordinates:
Sn 0.0336 0.1464 0.0000 (multiplicity 4)
Ir 0.1368 0.6556 0.0798 (multiplicity 4)
N 0.0904 0.1318 0.4166 (multiplicity 4)
O 0.1446 0.4761 0.7672 (multiplicity 4)

size of the total moment: 0.0001 μB per atom
crystal system: orthorhombic


Version two
DFT (GGA-PBE) results for an optimized crystal structure of SnIrNO.

Lattice parameters (Å, degrees): 3.1681 6.3947 5.7032 90.00 90.00 90.00
Space group Pmc2_1 (No. 26)
Inequivalent atoms, fractional coordinates:
Sn 0.0000 0.2369 0.0000 (multiplicity 2)
Ir 0.5000 0.2346 0.5706 (multiplicity 2)
N 0.0000 0.1652 0.4027 (multiplicity 2)
O 0.5000 0.4443 0.1015 (multiplicity 2)

size of the total moment: 0.0003 μB per atom
crystal system: orthorhombic


version one ends up most stable, edging out the next structure by 206 meV per atom.